(1)
Material: Li15Ag2Rh2
Method: DFT, PBE-GGA
State: optimized geometry

ρ = 2.92 g/cm³
Crystal system = trigonal
Space-group type = R-3m, No. 166

Geometry as CIF:
```
data_Li15Ag2Rh2
_chemical_formula_sum 'Li15 Ag2 Rh2'
_cell_length_a 6.984
_cell_length_b 6.984
_cell_length_c 6.984
_cell_angle_alpha 71.89
_cell_angle_beta 71.89
_cell_angle_gamma 71.89
_symmetry_space_group_name_H-M 'P 1'
_symmetry_Int_Tables_number 1
loop_
_symmetry_equiv_pos_as_xyz
'x,y,z'
loop_
_atom_site_label
_atom_site_fract_x
_atom_site_fract_y
_atom_site_fract_z
Li1 0.180 0.571 0.571
Li2 0.571 0.180 0.571
Li3 0.718 0.000 0.282
Ag1 0.286 0.286 0.286
Li4 0.500 0.000 0.000
Rh1 0.088 0.088 0.088
Li5 0.282 0.000 0.718
Li6 0.000 0.718 0.282
Li7 0.000 0.000 0.500
Ag2 0.714 0.714 0.714
Li8 0.820 0.429 0.429
Li9 0.282 0.718 0.000
Li10 0.000 0.282 0.718
Rh2 0.912 0.912 0.912
Li11 0.000 0.500 0.000
Li12 0.429 0.820 0.429
Li13 0.718 0.282 0.000
Li14 0.429 0.429 0.820
Li15 0.571 0.571 0.180
```

---

(2)
Material: LiAgRh4
Method: DFT, PBE-GGA
State: optimized geometry

ρ = 9.01 g/cm³
Crystal system = cubic
Space-group type = F-43m, No. 216

Geometry as CIF:
```
data_LiAgRh4
_chemical_formula_sum 'Li1 Ag1 Rh4'
_cell_length_a 5.158
_cell_length_b 5.158
_cell_length_c 5.158
_cell_angle_alpha 60.00
_cell_angle_beta 60.00
_cell_angle_gamma 60.00
_symmetry_space_group_name_H-M 'P 1'
_symmetry_Int_Tables_number 1
loop_
_symmetry_equiv_pos_as_xyz
'x,y,z'
loop_
_atom_site_label
_atom_site_fract_x
_atom_site_fract_y
_atom_site_fract_z
Rh1 0.375 0.375 0.875
Li1 0.000 0.000 0.000
Rh2 0.375 0.375 0.375
Rh3 0.375 0.875 0.375
Rh4 0.875 0.375 0.375
Ag1 0.750 0.750 0.750
```

---

For reference, DOS at the Fermi energy by record: 8.6; 11.3 states/eV/f.u..
For reference, electronic total energy by record: -2.568; -5.446 eV per atom.
For reference, formation energy by record: 0.32; 1.50 eV/f.u..